(1)
A relaxed InGaBi crystal, computed with GGA-PBE.

## Properties
Space-group type: P2_1/m
DOS at the Fermi energy, states/eV per atom: 0.46
Polymorph energy (0 for the lowest one), meV/atom: 18.0
ΔH_f (0 K), meV/atom: 55

a b c (Å): 4.7943 4.7495 7.2511
angles (deg): 90.00 96.39 90.00
Fractional positions:
In 0.0364 0.2500 0.3212
In 0.9636 0.7500 0.6788
Ga 0.4072 0.7500 0.4195
Ga 0.5928 0.2500 0.5805
Bi 0.3024 0.2500 0.9115
Bi 0.6976 0.7500 0.0885

(2)
A relaxed InGaBi2 crystal, computed with GGA-PBE.

## Properties
Space-group type: I-42d
DOS at the Fermi energy, states/eV per atom: 0.04
Polymorph energy (0 for the lowest one), meV/atom: 0.0
ΔH_f (0 K), meV/atom: 18

a b c (Å): 8.1202 8.1202 8.1202
angles (deg): 131.56 131.56 70.92
Fractional positions:
In 0.0000 0.0000 0.0000
In 0.7500 0.2500 0.5000
Ga 0.2500 0.7500 0.5000
Ga 0.5000 0.5000 0.0000
Bi 0.1461 0.6250 0.0211
Bi 0.3750 0.3961 0.5211
Bi 0.6039 0.1250 0.9789
Bi 0.8750 0.8539 0.4789

(3)
A relaxed InGaBi crystal, computed with GGA-PBE.

## Properties
Space-group type: Pm
DOS at the Fermi energy, states/eV per atom: 0.30
Polymorph energy (0 for the lowest one), meV/atom: 23.4
ΔH_f (0 K), meV/atom: 60

a b c (Å): 4.6009 5.3657 6.9811
angles (deg): 90.00 108.03 90.00
Fractional positions:
In 0.0000 0.0000 0.0000
In 0.3109 0.0000 0.6754
Ga 0.2032 0.5000 0.3373
Ga 0.8497 0.5000 0.6071
Bi 0.5913 0.5000 0.9612
Bi 0.6260 0.0000 0.3462

(4)
A relaxed InGa2Bi2 crystal, computed with GGA-PBE.

## Properties
Space-group type: I4/mmm
DOS at the Fermi energy, states/eV per atom: 0.47
Polymorph energy (0 for the lowest one), meV/atom: 22.5
ΔH_f (0 K), meV/atom: 104

a b c (Å): 6.2739 6.2739 6.2739
angles (deg): 129.48 129.48 74.24
Fractional positions:
In 0.0000 0.0000 0.0000
Ga 0.3752 0.3752 0.0000
Ga 0.6248 0.6248 0.0000
Bi 0.2500 0.7500 0.5000
Bi 0.7500 0.2500 0.5000